No. 1
The following is a PBE-GGA calculation of a relaxed ReSi3Cl crystal, from Alexandria via LeMat-Bulk.

Output
**ΔE to the lowest computed polymorph**: 37.94 kcal/mol of atoms
**Formation energy from raw total energies**: 1.680 eV per atom
**Crystal system**: cubic
**Calculated volume**: 85.47 Å³/cell

a = 4.405 Å, b = 4.405 Å, c = 4.405 Å
α = 90.00°, β = 90.00°, γ = 90.00°
Space group Pm-3m (No. 221)
One atom of each set of equivalent atoms:
Re (0.000, 0.000, 0.000)
Si (0.000, 0.500, 0.500)
Cl (0.500, 0.500, 0.500)

No. 2
The following is a PBE-GGA calculation of a relaxed CePd8Au2 crystal, from Alexandria via LeMat-Bulk.

Output
**ΔH_f (0 K)**: -0.260 eV/atom
**ΔE to the lowest computed polymorph**: 0.51 kcal/mol of atoms
**Crystal system**: monoclinic
**Calculated volume**: 385.28 Å³/cell

a = 13.442 Å, b = 5.423 Å, c = 5.458 Å
α = 90.00°, β = 104.47°, γ = 90.00°
Space group C2/m (No. 12)
One atom of each set of equivalent atoms:
Ce (0.000, 0.000, 0.000)
Pd (0.080, 0.500, 0.213)
Pd (0.091, 0.253, 0.679)
Pd (0.247, 0.500, 0.034)
Au (0.221, 0.000, 0.430)

No. 3
The following is a PBE-GGA calculation of a relaxed Zr3Sc2 crystal, from Alexandria via LeMat-Bulk.

Output
**ΔH_f (0 K)**: 0.039 eV/atom
**ΔE to the lowest computed polymorph**: 0.00 kcal/mol of atoms
**Crystal system**: trigonal
**Calculated volume**: 351.60 Å³/cell

a = 3.2016 Å, b = 3.2016 Å, c = 39.6088 Å
α = 90.00°, β = 90.00°, γ = 120.00°
Space group R-3m (No. 166, hexagonal axes)
One atom of each set of equivalent atoms:
Zr (0.0000, 0.0000, 0.0000)
Zr (0.0000, 0.0000, 0.1994)
Sc (0.0000, 0.0000, 0.4001)

No. 4
The following is a PBE-GGA calculation of a relaxed Mg2TiCu crystal, from Alexandria via LeMat-Bulk.

Output
**ΔH_f (0 K)**: 0.403 eV/atom
**ΔE to the lowest computed polymorph**: 8.07 kcal/mol of atoms
**Crystal system**: tetragonal
**Calculated volume**: 302.70 Å³/cell

a = 7.428 Å, b = 7.428 Å, c = 5.487 Å
α = 90.00°, β = 90.00°, γ = 90.00°
Space group I-42d (No. 122)
One atom of each set of equivalent atoms:
Mg (0.208, 0.750, 0.125)
Ti (0.000, 0.000, 0.500)
Cu (0.000, 0.000, 0.000)

No. 5
The following is a PBE-GGA calculation of a relaxed Er7In2Pd2 crystal, from Alexandria via LeMat-Bulk.

Output
**ΔH_f (0 K)**: -0.357 eV/atom
**Crystal system**: orthorhombic
**Calculated volume**: 627.05 Å³/cell

a = 8.109 Å, b = 11.000 Å, c = 7.029 Å
α = 90.00°, β = 90.00°, γ = 90.00°
Space group Cmmm (No. 65)
One atom of each set of equivalent atoms:
Er (0.000, 0.000, 0.000)
Er (0.000, 0.500, 0.247)
Er (0.250, 0.250, 0.255)
In (0.176, 0.000, 0.500)
Pd (0.000, 0.290, 0.000)

No. 6
The following is a PBE-GGA calculation of a relaxed TlH8Pt2 crystal, from Alexandria via LeMat-Bulk.

Output
**E**: -79.172 eV for the cell shown
**Crystal system**: monoclinic
**Calculated volume**: 193.75 Å³/cell

a = 5.399 Å, b = 9.252 Å, c = 3.879 Å
α = 90.00°, β = 90.31°, γ = 90.00°
Space group C2/m (No. 12)
One atom of each set of equivalent atoms:
Tl (0.000, 0.000, 0.000)
H (0.000, 0.331, 0.000)
H (0.111, 0.500, 0.687)
H (0.191, 0.189, 0.672)
Pt (0.000, 0.333, 0.500)

Copy entry 5 word for word.
The following is a PBE-GGA calculation of a relaxed Er7In2Pd2 crystal, from Alexandria via LeMat-Bulk.

Output
**ΔH_f (0 K)**: -0.357 eV/atom
**Crystal system**: orthorhombic
**Calculated volume**: 627.05 Å³/cell

a = 8.109 Å, b = 11.000 Å, c = 7.029 Å
α = 90.00°, β = 90.00°, γ = 90.00°
Space group Cmmm (No. 65)
One atom of each set of equivalent atoms:
Er (0.000, 0.000, 0.000)
Er (0.000, 0.500, 0.247)
Er (0.250, 0.250, 0.255)
In (0.176, 0.000, 0.500)
Pd (0.000, 0.290, 0.000)

Among the records above, which one has the lowest calculated volume?
ReSi3Cl

Which of these has the highest calculated volume?
Er7In2Pd2

Please write out number 5 again, unchanged.
The following is a PBE-GGA calculation of a relaxed Er7In2Pd2 crystal, from Alexandria via LeMat-Bulk.

Output
**ΔH_f (0 K)**: -0.357 eV/atom
**Crystal system**: orthorhombic
**Calculated volume**: 627.05 Å³/cell

a = 8.109 Å, b = 11.000 Å, c = 7.029 Å
α = 90.00°, β = 90.00°, γ = 90.00°
Space group Cmmm (No. 65)
One atom of each set of equivalent atoms:
Er (0.000, 0.000, 0.000)
Er (0.000, 0.500, 0.247)
Er (0.250, 0.250, 0.255)
In (0.176, 0.000, 0.500)
Pd (0.000, 0.290, 0.000)